# 1
VASP calculation (PBE) on a relaxed CaSm6Y8 crystal.

The structure in POSCAR format:
```
CaSm6Y8
1.0
4.880 2.817 6.054
-4.880 2.817 6.054
0.000 -5.635 6.054
Ca Sm Y
1 6 8
direct
0.000 0.000 0.000 Ca
0.173 0.616 0.437 Sm
0.384 0.563 0.827 Sm
0.437 0.173 0.616 Sm
0.563 0.827 0.384 Sm
0.616 0.437 0.173 Sm
0.827 0.384 0.563 Sm
0.052 0.373 0.867 Y
0.133 0.948 0.627 Y
0.239 0.239 0.239 Y
0.373 0.867 0.052 Y
0.627 0.133 0.948 Y
0.761 0.761 0.761 Y
0.867 0.052 0.373 Y
0.948 0.627 0.133 Y
```

VASP energy: -5.2768 eV/atom
density of states at the Fermi level: 21.8 states/eV/cell
energy relative to the elements: 0.192 eV per atom
SG: R-3

***

# 2
VASP calculation (PBE) on a relaxed Pr5Y3Tm2 crystal.

The structure in POSCAR format:
```
Pr5Y3Tm2
1.0
5.401 -7.430 0.000
5.401 7.430 0.000
-5.388 0.000 8.587
Pr Y Tm
10 6 4
direct
0.016 0.984 0.750 Pr
0.126 0.385 0.763 Pr
0.228 0.772 0.750 Pr
0.385 0.126 0.263 Pr
0.477 0.523 0.250 Pr
0.523 0.477 0.750 Pr
0.615 0.874 0.737 Pr
0.772 0.228 0.250 Pr
0.874 0.615 0.237 Pr
0.984 0.016 0.250 Pr
0.219 0.467 0.442 Y
0.271 0.729 0.250 Y
0.467 0.219 0.942 Y
0.533 0.781 0.058 Y
0.729 0.271 0.750 Y
0.781 0.533 0.558 Y
0.025 0.279 0.060 Tm
0.279 0.025 0.560 Tm
0.721 0.975 0.440 Tm
0.975 0.721 0.940 Tm
```

VASP energy: -5.0525 eV/atom
density of states at the Fermi level: 33.7 states/eV/cell
energy relative to the elements: 0.171 eV per atom
SG: C2/c

***

# 3
VASP calculation (PBE) on a relaxed Cs4Na2Cl crystal.

The structure in POSCAR format:
```
Cs4Na2Cl
1.0
21.775 0.000 0.000
0.000 5.264 0.000
-1.992 0.000 8.586
Cs Na Cl
8 4 2
direct
0.068 0.000 0.264 Cs
0.141 0.500 0.847 Cs
0.359 0.000 0.153 Cs
0.432 0.500 0.736 Cs
0.568 0.500 0.264 Cs
0.641 0.000 0.847 Cs
0.859 0.500 0.153 Cs
0.932 0.000 0.736 Cs
0.240 0.500 0.366 Na
0.260 0.000 0.634 Na
0.740 0.000 0.366 Na
0.760 0.500 0.634 Na
0.000 0.500 0.000 Cl
0.500 0.000 0.000 Cl
```

VASP energy: -1.6348 eV/atom
density of states at the Fermi level: 9.7 states/eV/cell
SG: C2/m
ΔE_f (raw): -0.51 eV per atom

***

# 4
VASP calculation (PBE) on a relaxed TlPd2Au crystal.

The structure in POSCAR format:
```
TlPd2Au
1.0
4.125 0.000 0.000
-2.063 3.573 0.000
0.000 0.000 16.917
Tl Pd Au
3 6 3
direct
0.000 0.000 0.000 Tl
0.333 0.667 0.667 Tl
0.667 0.333 0.333 Tl
0.000 0.000 0.418 Pd
0.000 0.000 0.589 Pd
0.333 0.667 0.085 Pd
0.333 0.667 0.255 Pd
0.667 0.333 0.752 Pd
0.667 0.333 0.922 Pd
0.000 0.000 0.175 Au
0.333 0.667 0.842 Au
0.667 0.333 0.508 Au
```

polymorph energy (0 for the lowest one): 1.070 eV per formula unit
VASP energy: -3.9356 eV/atom
density of states at the Fermi level: 4.6 states/eV/cell
energy relative to the elements: 0.072 eV per atom
SG: R3m

***

# 5
VASP calculation (PBE) on a relaxed TbHo15In4 crystal.

The structure in POSCAR format:
```
TbHo15In4
1.0
4.835 0.000 0.000
0.000 4.835 0.000
0.000 0.000 24.565
Tb Ho In
1 15 4
direct
0.000 0.000 0.000 Tb
0.000 0.500 0.105 Ho
0.000 0.500 0.303 Ho
0.000 0.500 0.500 Ho
0.000 0.500 0.697 Ho
0.000 0.500 0.895 Ho
0.500 0.000 0.105 Ho
0.500 0.000 0.303 Ho
0.500 0.000 0.500 Ho
0.500 0.000 0.697 Ho
0.500 0.000 0.895 Ho
0.500 0.500 0.000 Ho
0.500 0.500 0.205 Ho
0.500 0.500 0.402 Ho
0.500 0.500 0.598 Ho
0.500 0.500 0.795 Ho
0.000 0.000 0.206 In
0.000 0.000 0.402 In
0.000 0.000 0.598 In
0.000 0.000 0.794 In
```

VASP energy: -4.4127 eV/atom
density of states at the Fermi level: 27.6 states/eV/cell
energy relative to the elements: -0.200 eV per atom
SG: P4/mmm

***

# 6
VASP calculation (PBE) on a relaxed ReBiAs3 crystal.

The structure in POSCAR format:
```
ReBiAs3
1.0
4.889 0.000 0.000
0.000 4.889 0.000
0.000 0.000 4.889
Re Bi As
1 1 3
direct
0.000 0.000 0.000 Re
0.500 0.500 0.500 Bi
0.000 0.000 0.500 As
0.000 0.500 0.000 As
0.500 0.000 0.000 As
```

polymorph energy (0 for the lowest one): 0.000 eV per formula unit
VASP energy: -5.5096 eV/atom
density of states at the Fermi level: 4.8 states/eV/cell
energy relative to the elements: 0.546 eV per atom
SG: Pm-3m

***

# 7
VASP calculation (PBE) on a relaxed Tl2InSn2Hg2 crystal.

The structure in POSCAR format:
```
Tl2InSn2Hg2
1.0
10.345 0.000 0.000
0.000 4.445 0.000
-1.233 0.000 8.831
Tl In Sn Hg
4 2 4 4
direct
0.065 0.000 0.211 Tl
0.435 0.500 0.789 Tl
0.565 0.500 0.211 Tl
0.935 0.000 0.789 Tl
0.000 0.500 0.500 In
0.500 0.000 0.500 In
0.217 0.000 0.617 Sn
0.283 0.500 0.383 Sn
0.717 0.500 0.617 Sn
0.783 0.000 0.383 Sn
0.151 0.500 0.932 Hg
0.349 0.000 0.068 Hg
0.651 0.000 0.932 Hg
0.849 0.500 0.068 Hg
```

VASP energy: -2.2694 eV/atom
density of states at the Fermi level: 6.3 states/eV/cell
energy relative to the elements: 0.028 eV per atom
SG: C2/m

***

# 8
VASP calculation (PBE) on a relaxed AcCeAsSe crystal.

The structure in POSCAR format:
```
AcCeAsSe
1.0
4.269 0.000 0.000
-2.134 3.697 0.000
0.000 0.000 22.974
Ac Ce As Se
3 3 3 3
direct
0.000 0.000 0.000 Ac
0.333 0.667 0.667 Ac
0.667 0.333 0.333 Ac
0.000 0.000 0.822 Ce
0.333 0.667 0.489 Ce
0.667 0.333 0.155 Ce
0.000 0.000 0.415 As
0.333 0.667 0.081 As
0.667 0.333 0.748 As
0.000 0.000 0.575 Se
0.333 0.667 0.241 Se
0.667 0.333 0.908 Se
```

polymorph energy (0 for the lowest one): 0.000 eV per formula unit
VASP energy: -6.0908 eV/atom
density of states at the Fermi level: 25.2 states/eV/cell
SG: R3m
ΔE_f (raw): -1.55 eV per atom

***

# 9
VASP calculation (PBE) on a relaxed BeRe2 crystal.

The structure in POSCAR format:
```
BeRe2
1.0
5.663 0.000 0.000
0.000 5.663 0.000
0.000 0.000 4.609
Be Re
4 8
direct
0.000 0.000 0.250 Be
0.000 0.000 0.750 Be
0.500 0.500 0.250 Be
0.500 0.500 0.750 Be
0.162 0.338 0.000 Re
0.162 0.662 0.500 Re
0.338 0.162 0.500 Re
0.338 0.838 0.000 Re
0.662 0.162 0.000 Re
0.662 0.838 0.500 Re
0.838 0.338 0.500 Re
0.838 0.662 0.000 Re
```

polymorph energy (0 for the lowest one): 0.000 eV per formula unit
VASP energy: -9.8125 eV/atom
density of states at the Fermi level: 8.6 states/eV/cell
energy relative to the elements: -0.272 eV per atom
SG: I4/mcm

***

# 10
VASP calculation (PBE) on a relaxed Ac2NiSbPt6 crystal.

The structure in POSCAR format:
```
Ac2NiSbPt6
1.0
6.274 -2.787 0.000
6.274 2.787 0.000
-6.022 0.000 6.308
Ac Ni Sb Pt
2 1 1 6
direct
0.234 0.234 0.271 Ac
0.766 0.766 0.729 Ac
0.500 0.500 0.000 Ni
0.000 0.000 0.500 Sb
0.253 0.735 0.242 Pt
0.256 0.256 0.899 Pt
0.265 0.747 0.758 Pt
0.735 0.253 0.242 Pt
0.744 0.744 0.101 Pt
0.747 0.265 0.758 Pt
```

VASP energy: -6.1908 eV/atom
density of states at the Fermi level: 4.0 states/eV/cell
SG: C2/m
ΔE_f (raw): -0.75 eV per atom

***

# 11
VASP calculation (PBE) on a relaxed Cs2CdHSe2 crystal.

The structure in POSCAR format:
```
Cs2CdHSe2
1.0
-3.849 7.383 3.548
3.849 -7.383 3.548
3.849 7.383 -3.548
Cs Cd H Se
4 2 2 4
direct
0.146 0.168 0.315 Cs
0.354 0.668 0.022 Cs
0.646 0.332 0.978 Cs
0.854 0.832 0.685 Cs
0.250 0.750 0.500 Cd
0.750 0.250 0.500 Cd
0.250 0.250 0.000 H
0.750 0.750 0.000 H
0.100 0.688 0.788 Se
0.400 0.188 0.589 Se
0.600 0.812 0.411 Se
0.900 0.312 0.212 Se
```

VASP energy: -2.6688 eV/atom
density of states at the Fermi level: 0.7 states/eV/cell
SG: Ibam

***

# 12
VASP calculation (PBE) on a relaxed AcSi4Pt4 crystal.

The structure in POSCAR format:
```
AcSi4Pt4
1.0
6.163 0.000 0.000
0.000 6.163 0.000
0.000 0.000 8.400
Ac Si Pt
2 8 8
direct
0.250 0.750 0.250 Ac
0.750 0.250 0.750 Ac
0.024 0.250 0.131 Si
0.250 0.024 0.631 Si
0.250 0.476 0.631 Si
0.476 0.250 0.131 Si
0.524 0.750 0.869 Si
0.750 0.524 0.369 Si
0.750 0.976 0.369 Si
0.976 0.750 0.869 Si
0.031 0.250 0.424 Pt
0.250 0.031 0.924 Pt
0.250 0.469 0.924 Pt
0.469 0.250 0.424 Pt
0.531 0.750 0.576 Pt
0.750 0.531 0.076 Pt
0.750 0.969 0.076 Pt
0.969 0.750 0.576 Pt
```

VASP energy: -6.3590 eV/atom
density of states at the Fermi level: 5.9 states/eV/cell
SG: P4_2/nmc
ΔE_f (raw): -0.81 eV per atom